Record 1
Re3TeS (PBE, optimized geometry); space-group type = Pm-3m (221); energy = -5.991 eV per atom; excess energy over the best structure of this formula in the dataset = 1.721 eV per atom
1.0
4.866 0.000 0.000
0.000 4.866 0.000
0.000 0.000 4.866
Re Te S
3 1 1
Cartesian
0.000 0.000 2.433 Re
0.000 2.433 0.000 Re
2.433 0.000 0.000 Re
0.000 0.000 0.000 Te
2.433 2.433 2.433 S

---

Record 2
Re3TeS (PBE, optimized geometry); space-group type = Pm-3m (221); energy = -7.712 eV per atom; excess energy over the best structure of this formula in the dataset = 0.000 eV per atom
1.0
4.454 0.000 0.000
0.000 4.454 0.000
0.000 0.000 4.454
Re Te S
3 1 1
Cartesian
0.000 0.000 2.227 Re
0.000 2.227 0.000 Re
2.227 0.000 0.000 Re
2.227 2.227 2.227 Te
0.000 0.000 0.000 S

---

Record 3
Re2TeS (PBE, optimized geometry); space-group type = I-42d (122); energy = -7.596 eV per atom; excess energy over the best structure of this formula in the dataset = 0.000 eV per atom
1.0
-2.230 2.230 7.716
2.230 -2.230 7.716
2.230 2.230 -7.716
Re Te S
4 2 2
Cartesian
3.346 0.740 -1.929 Re
0.740 1.115 1.929 Re
-1.115 1.490 5.787 Re
1.490 1.115 9.645 Re
2.230 0.000 3.858 Te
0.000 0.000 7.716 Te
0.000 0.000 0.000 S
0.000 2.230 3.858 S

---

Record 4
ReTeS (PBE, optimized geometry); space-group type = F-43m (216); energy = -6.950 eV per atom; excess energy over the best structure of this formula in the dataset = 0.000 eV per atom
1.0
0.000 5.093 5.093
5.093 0.000 5.093
5.093 5.093 0.000
Re Te S
4 4 4
Cartesian
4.099 4.099 4.099 Re
6.087 6.087 4.099 Re
6.087 4.099 6.087 Re
4.099 6.087 6.087 Re
1.302 1.302 1.302 Te
3.792 3.792 1.302 Te
3.792 1.302 3.792 Te
1.302 3.792 3.792 Te
6.404 3.783 3.783 S
3.783 6.404 3.783 S
3.783 3.783 6.404 S
6.404 6.404 6.404 S

---

Record 5
ReTeS (PBE, optimized geometry); space-group type = P2_1/c (14); energy = -6.585 eV per atom; excess energy over the best structure of this formula in the dataset = 0.364 eV per atom
1.0
7.018 0.000 0.000
0.000 7.793 0.000
-1.324 0.000 5.664
Re Te S
4 4 4
Cartesian
0.220 1.631 1.754 Re
-0.442 2.265 4.586 Re
6.136 5.528 1.078 Re
5.474 6.162 3.910 Re
0.111 4.802 5.550 Te
0.773 6.887 2.718 Te
4.921 0.906 2.946 Te
5.582 2.991 0.114 Te
1.922 0.971 0.399 S
1.260 2.925 3.231 S
4.433 4.868 2.433 S
3.772 6.822 5.266 S

---

Record 6
ReTeS3 (PBE, optimized geometry); space-group type = Pm-3m (221); energy = -4.058 eV per atom; excess energy over the best structure of this formula in the dataset = 1.195 eV per atom
1.0
5.000 0.000 0.000
0.000 5.000 0.000
0.000 0.000 5.000
Re Te S
1 1 3
Cartesian
0.000 0.000 0.000 Re
2.500 2.500 2.500 Te
0.000 2.500 2.500 S
2.500 0.000 2.500 S
2.500 2.500 0.000 S

---

Record 7
ReTeS3 (PBE, optimized geometry); space-group type = Pm-3m (221); energy = -5.253 eV per atom; excess energy over the best structure of this formula in the dataset = 0.000 eV per atom
1.0
4.649 0.000 0.000
0.000 4.649 0.000
0.000 0.000 4.649
Re Te S
1 1 3
Cartesian
0.000 0.000 0.000 Re
2.324 2.324 2.324 Te
0.000 0.000 2.324 S
0.000 2.324 0.000 S
2.324 0.000 0.000 S

---

Record 8
ReTeS (PBE, optimized geometry); space-group type = C2/m (12); energy = -6.591 eV per atom; excess energy over the best structure of this formula in the dataset = 0.359 eV per atom
1.0
6.635 -1.548 0.000
6.635 1.548 0.000
-5.435 0.000 7.669
Re Te S
2 2 2
Cartesian
2.644 0.000 0.881 Re
5.191 0.000 6.788 Re
-1.043 0.000 4.526 Te
8.878 0.000 3.143 Te
4.977 0.000 0.561 S
2.858 0.000 7.108 S

---

Record 9
Re2TeS (PBE, optimized geometry); space-group type = Fm-3m (225); energy = -7.269 eV per atom; excess energy over the best structure of this formula in the dataset = 0.326 eV per atom
1.0
0.000 3.170 3.170
3.170 0.000 3.170
3.170 3.170 0.000
Re Te S
2 1 1
Cartesian
1.585 1.585 1.585 Re
4.755 4.755 4.755 Re
0.000 0.000 0.000 Te
3.170 3.170 3.170 S

---

Record 10
Th4ReTe2S (PBE, optimized geometry); space-group type = P2/m (10); energy = -7.568 eV per atom
1.0
7.389 0.000 0.000
0.000 4.189 0.000
-2.446 0.000 7.496
Th Re Te S
4 1 2 1
Cartesian
1.126 0.000 1.543 Th
-0.017 2.095 5.936 Th
4.960 2.095 1.560 Th
3.817 0.000 5.953 Th
0.000 2.095 0.000 Re
-1.223 0.000 3.748 Te
2.472 2.095 3.748 Te
3.695 0.000 0.000 S

---

Record 11
Th4ReTeS2 (PBE, optimized geometry); space-group type = P2/m (10); energy = -7.771 eV per atom
1.0
7.178 0.000 0.000
0.000 4.121 0.000
-2.423 0.000 7.263
Th Re Te S
4 1 1 2
Cartesian
1.136 0.000 1.582 Th
-0.023 2.061 5.649 Th
4.778 2.061 1.614 Th
3.619 0.000 5.682 Th
3.589 0.000 0.000 Re
2.377 2.061 3.632 Te
-1.211 0.000 3.632 S
0.000 2.061 0.000 S

---

Record 12
ThReS (PBE, optimized geometry); space-group type = P4/nmm (129); energy = -8.715 eV per atom
1.0
3.691 0.000 0.000
0.000 3.691 0.000
0.000 0.000 9.706
Th Re S
2 2 2
Cartesian
0.923 0.923 2.154 Th
2.769 2.769 7.552 Th
0.923 0.923 5.008 Re
2.769 2.769 4.697 Re
0.923 0.923 8.643 S
2.769 2.769 1.063 S

---

Record 13
TiRe3S (PBE, optimized geometry); space-group type = Pm-3m (221); energy = -9.234 eV per atom; excess energy over the best structure of this formula in the dataset = 0.000 eV per atom
1.0
4.342 0.000 0.000
0.000 4.342 0.000
0.000 0.000 4.342
Ti Re S
1 3 1
Cartesian
0.000 0.000 0.000 Ti
0.000 2.171 2.171 Re
2.171 0.000 2.171 Re
2.171 2.171 0.000 Re
2.171 2.171 2.171 S

---

Record 14
TiRe3S (PBE, optimized geometry); space-group type = Pm-3m (221); energy = -7.537 eV per atom; excess energy over the best structure of this formula in the dataset = 1.697 eV per atom
1.0
4.580 0.000 0.000
0.000 4.580 0.000
0.000 0.000 4.580
Ti Re S
1 3 1
Cartesian
0.000 0.000 0.000 Ti
0.000 0.000 2.290 Re
0.000 2.290 0.000 Re
2.290 0.000 0.000 Re
2.290 2.290 2.290 S

---

Record 15
TiReS2 (PBE, optimized geometry); space-group type = R-3m (166); energy = -7.563 eV per atom; excess energy over the best structure of this formula in the dataset = 0.000 eV per atom
1.0
1.511 0.872 7.918
-1.511 0.872 7.918
0.000 -1.745 7.918
Ti Re S
1 1 2
Cartesian
0.000 0.000 0.000 Ti
0.000 0.000 11.876 Re
0.000 0.000 9.571 S
0.000 0.000 14.181 S

---

Record 16
TiReS2 (PBE, optimized geometry); space-group type = I-42d (122); energy = -7.506 eV per atom; excess energy over the best structure of this formula in the dataset = 0.057 eV per atom
1.0
-2.291 2.291 6.703
2.291 -2.291 6.703
2.291 2.291 -6.703
Ti Re S
2 2 4
Cartesian
0.000 0.000 0.000 Ti
0.000 2.291 3.351 Ti
2.291 0.000 3.351 Re
0.000 0.000 6.703 Re
1.145 -1.089 5.027 S
1.202 1.145 1.676 S
1.145 3.380 -1.676 S
1.089 1.145 8.378 S

---

Record 17
TiReS2 (PBE, optimized geometry); space-group type = Fm-3m (225); energy = -7.406 eV per atom; excess energy over the best structure of this formula in the dataset = 0.156 eV per atom
1.0
0.000 3.007 3.007
3.007 0.000 3.007
3.007 3.007 0.000
Ti Re S
1 1 2
Cartesian
0.000 0.000 0.000 Ti
3.007 3.007 3.007 Re
1.503 1.503 1.503 S
4.510 4.510 4.510 S

---

Record 18
Ti2ReS (PBE, optimized geometry); space-group type = I-42d (122); energy = -8.149 eV per atom
1.0
-3.382 3.382 2.759
3.382 -3.382 2.759
3.382 3.382 -2.759
Ti Re S
4 2 2
Cartesian
5.073 1.489 -0.690 Ti
1.489 1.691 0.690 Ti
-1.691 1.893 2.069 Ti
1.893 1.691 3.449 Ti
3.382 0.000 1.379 Re
0.000 0.000 2.759 Re
0.000 0.000 0.000 S
0.000 3.382 1.379 S

---

Record 19
Ti2ReS (PBE, optimized geometry); space-group type = R-3m (166); energy = -8.731 eV per atom
1.0
1.581 0.913 7.202
-1.581 0.913 7.202
0.000 -1.826 7.202
Ti Re S
2 1 1
Cartesian
0.000 0.000 5.281 Ti
0.000 0.000 16.324 Ti
0.000 0.000 0.000 Re
0.000 0.000 10.803 S

---

Record 20
TiReS4 (PBE, optimized geometry); space-group type = P2_1/c (14); energy = -6.657 eV per atom
1.0
5.944 0.000 0.000
0.000 5.883 0.000
-0.319 0.000 5.885
Ti Re S
2 2 8
Cartesian
0.000 0.000 0.000 Ti
-0.160 2.941 2.942 Ti
2.812 0.000 2.942 Re
2.972 2.941 0.000 Re
0.727 0.814 2.182 S
0.567 2.127 5.124 S
2.127 3.740 2.096 S
1.967 5.084 5.039 S
3.657 0.798 0.846 S
3.497 2.143 3.788 S
5.057 3.756 0.760 S
4.897 5.068 3.703 S

---

Record 21
TlReS3 (PBE, optimized geometry); space-group type = Pm-3m (221); energy = -3.697 eV per atom; excess energy over the best structure of this formula in the dataset = 1.954 eV per atom
1.0
5.050 0.000 0.000
0.000 5.050 0.000
0.000 0.000 5.050
Tl Re S
1 1 3
Cartesian
0.000 0.000 0.000 Tl
2.525 2.525 2.525 Re
0.000 0.000 2.525 S
0.000 2.525 0.000 S
2.525 0.000 0.000 S

---

Record 22
TlRe2S (PBE, optimized geometry); space-group type = Fm-3m (225); energy = -6.587 eV per atom; excess energy over the best structure of this formula in the dataset = 0.424 eV per atom
1.0
0.000 3.189 3.189
3.189 0.000 3.189
3.189 3.189 0.000
Tl Re S
1 2 1
Cartesian
0.000 0.000 0.000 Tl
1.594 1.594 1.594 Re
4.783 4.783 4.783 Re
3.189 3.189 3.189 S

---

Record 23
Tl2ReS (PBE, optimized geometry); space-group type = I-42d (122); energy = -4.186 eV per atom; excess energy over the best structure of this formula in the dataset = 0.000 eV per atom
1.0
-2.105 2.105 10.170
2.105 -2.105 10.170
2.105 2.105 -10.170
Tl Re S
4 2 2
Cartesian
3.157 1.030 -2.542 Tl
1.030 1.052 2.542 Tl
-1.052 1.075 7.627 Tl
1.075 1.052 12.712 Tl
0.000 0.000 0.000 Re
0.000 2.105 5.085 Re
2.105 0.000 5.085 S
0.000 0.000 10.170 S

---

Record 24
TlRe2S (PBE, optimized geometry); space-group type = I-42d (122); energy = -7.011 eV per atom; excess energy over the best structure of this formula in the dataset = 0.000 eV per atom
1.0
-2.159 2.159 8.464
2.159 -2.159 8.464
2.159 2.159 -8.464
Tl Re S
2 4 2
Cartesian
0.000 0.000 0.000 Tl
0.000 2.159 4.232 Tl
1.079 -0.624 6.348 Re
1.534 1.079 2.116 Re
1.079 2.783 -2.116 Re
0.624 1.079 10.580 Re
2.159 0.000 4.232 S
0.000 0.000 8.464 S

---

Record 25
TlRe4S7 (PBE, optimized geometry); space-group type = Pmn2_1 (31); energy = -6.806 eV per atom
1.0
14.418 0.000 0.000
0.000 5.987 0.000
0.000 0.000 5.896
Tl Re S
2 8 14
Cartesian
0.000 1.422 0.000 Tl
7.209 4.565 2.948 Tl
1.984 4.413 3.370 Re
3.302 2.277 3.048 Re
3.907 3.710 0.100 Re
5.226 1.574 0.422 Re
9.193 1.574 0.422 Re
10.511 3.710 0.100 Re
11.117 2.277 3.048 Re
12.435 4.413 3.370 Re
0.000 3.651 2.602 S
1.665 4.405 5.566 S
1.841 0.637 2.444 S
3.100 1.607 5.224 S
4.109 4.381 2.276 S
5.369 5.350 5.392 S
5.544 1.583 2.618 S
7.209 2.336 5.550 S
8.875 1.583 2.618 S
9.050 5.350 5.392 S
10.310 4.381 2.276 S
11.318 1.607 5.224 S
12.578 0.637 2.444 S
12.753 4.405 5.566 S

---

Record 26
TlReS3 (PBE, optimized geometry); space-group type = Pm-3m (221); energy = -5.411 eV per atom; excess energy over the best structure of this formula in the dataset = 0.240 eV per atom
1.0
4.722 0.000 0.000
0.000 4.722 0.000
0.000 0.000 4.722
Tl Re S
1 1 3
Cartesian
0.000 0.000 0.000 Tl
2.361 2.361 2.361 Re
0.000 2.361 2.361 S
2.361 0.000 2.361 S
2.361 2.361 0.000 S

---

In kJ/mol of formula units, the energy relative to the elements, uncorrected values for the records above are, in order, 1414.4; 584.2; 172.1; -109.2; -3.7; 741.1; 164.7; -5.4; 297.9; -772.3; -833.7; -207.4; 308.4; 1127.3; -159.5; -137.6; -99.2; -22.3; -246.8; -297.8; 840.8; 486.5; 440.5; 323.0; -60.0; 13.8.
In μB/cell, the total moment values for the records above are, in order, 2.77; 0.00; 0.00; 0.00; 0.00; 5.00; 0.00; 0.00; 0.00; 0.00; 0.00; 0.00; 0.00; 0.00; 0.00; 0.00; 0.00; 0.00; 0.00; 1.77; 4.10; 0.00; 4.56; 0.00; 0.00; 0.00.